[1]
Entry from the Alexandria database: an optimized crystal structure of YTm5Au6 (PBE-GGA).

Unit cell a=8.7630 b=8.7630 c=8.7630 alpha=146.43 beta=132.66 gamma=59.28
Last column: nearest neighbours and their distance in Å.
Fractional coordinates of all 12 atoms:
1 Y 0.0000 0.0000 0.0000  8 Au 3.11-3.13
2 Tm 0.1659 0.6659 0.5000  8 Au 3.06-3.11
3 Tm 0.3328 0.3328 0.0000  8 Au 3.07
4 Tm 0.5000 0.0000 0.5000  8 Au 3.06-3.10
5 Tm 0.6672 0.6672 0.0000  8 Au 3.07
6 Tm 0.8341 0.3341 0.5000  8 Au 3.06-3.11
7 Au 0.0846 0.8312 0.2533  7 Tm 3.06-3.10, 1 Y 3.13
8 Au 0.2567 0.5000 0.7567  6 Tm 3.06-3.11, 2 Y 3.11
9 Au 0.4221 0.1688 0.2533  7 Tm 3.06-3.10, 1 Y 3.13
10 Au 0.5779 0.8312 0.7467  7 Tm 3.06-3.10, 1 Y 3.13
11 Au 0.7433 0.5000 0.2433  6 Tm 3.06-3.11, 2 Y 3.11
12 Au 0.9154 0.1688 0.7467  7 Tm 3.06-3.10, 1 Y 3.13

Results
For the density of states at the Fermi level, the calculation gives 0.443 states/eV per atom. Its space-group type is Immm. The spin magnetization comes out at 0.00 μB per cell. As for the total DFT energy (no corrections): -4.927 eV/atom.

---

[2]
Entry from the Alexandria database: an optimized crystal structure of Y2TmAu2 (PBE-GGA).

Unit cell a=8.1218 b=8.1218 c=3.8286 alpha=90.00 beta=90.00 gamma=90.00
Last column: nearest neighbours and their distance in Å.
Fractional coordinates of all 10 atoms:
1 Y 0.1627 0.3373 0.0000  6 Au 3.01-3.09
2 Y 0.3373 0.8373 0.0000  6 Au 3.01-3.09
3 Y 0.6627 0.1627 0.0000  6 Au 3.01-3.09
4 Y 0.8373 0.6627 0.0000  6 Au 3.01-3.09
5 Tm 0.0000 0.0000 0.5000  4 Au 3.16
6 Tm 0.5000 0.5000 0.5000  4 Au 3.16
7 Au 0.1346 0.6346 0.5000  6 Y 3.01-3.09, 1 Au 3.09, 2 Tm 3.16
8 Au 0.3654 0.1346 0.5000  6 Y 3.01-3.09, 1 Au 3.09, 2 Tm 3.16
9 Au 0.6346 0.8654 0.5000  6 Y 3.01-3.09, 1 Au 3.09, 2 Tm 3.16
10 Au 0.8654 0.3654 0.5000  6 Y 3.01-3.09, 1 Au 3.09, 2 Tm 3.16

Results
For the density of states at the Fermi level, the calculation gives 1.548 states/eV per atom. Its space-group type is P4/mbm. The spin magnetization comes out at 0.00 μB per cell. As for the total DFT energy (no corrections): -5.499 eV/atom.

---

[3]
Entry from the Alexandria database: an optimized crystal structure of YTm2Au3 (PBE-GGA).

Unit cell a=3.5493 b=3.5493 c=10.8251 alpha=90.00 beta=90.00 gamma=90.00
Last column: nearest neighbours and their distance in Å.
Fractional coordinates of all 6 atoms:
1 Y 0.0000 0.0000 0.0000  8 Au 3.13
2 Tm 0.0000 0.0000 0.3351  8 Au 3.06-3.08
3 Tm 0.0000 0.0000 0.6649  8 Au 3.06-3.08
4 Au 0.5000 0.5000 0.1730  4 Tm 3.06, 4 Y 3.13
5 Au 0.5000 0.5000 0.5000  8 Tm 3.08
6 Au 0.5000 0.5000 0.8270  4 Tm 3.06, 4 Y 3.13

Results
For the density of states at the Fermi level, the calculation gives 0.303 states/eV per atom. Its space-group type is P4/mmm. The spin magnetization comes out at 0.00 μB per cell. As for the total DFT energy (no corrections): -5.092 eV/atom.

---

[4]
Entry from the Alexandria database: an optimized crystal structure of Tm2Zn2Au (PBE-GGA).

Unit cell a=5.6537 b=5.6537 c=10.3255 alpha=112.73 beta=112.73 gamma=45.56
Last column: nearest neighbours and their distance in Å.
Fractional coordinates of all 10 atoms:
1 Tm 0.0195 0.0195 0.3367  4 Au 3.04-3.34, 7 Zn 3.04-3.31
2 Tm 0.1901 0.1901 0.1103  6 Zn 2.95-3.15, 2 Au 3.08
3 Tm 0.8099 0.8099 0.8897  6 Zn 2.95-3.15, 2 Au 3.08
4 Tm 0.9805 0.9805 0.6633  4 Au 3.04-3.34, 7 Zn 3.04-3.31
5 Zn 0.3659 0.3659 0.4388  1 Zn 2.54, 2 Au 2.61
6 Zn 0.4732 0.4732 0.1108  1 Zn 2.57, 1 Au 2.67
7 Zn 0.5268 0.5268 0.8892  1 Zn 2.57, 1 Au 2.67
8 Zn 0.6341 0.6341 0.5612  1 Zn 2.54, 2 Au 2.61
9 Au 0.2741 0.2741 0.6680  4 Zn 2.61-2.90
10 Au 0.7259 0.7259 0.3320  4 Zn 2.61-2.90

Results
For the density of states at the Fermi level, the calculation gives 0.853 states/eV per atom. Its space-group type is C2/m. The offset from the most stable computed form is 0.000 eV per atom. The spin magnetization comes out at 0.00 μB per cell. As for the total DFT energy (no corrections): -3.455 eV/atom.

---

[5]
Entry from the Alexandria database: an optimized crystal structure of Tm3Zn2Au3 (PBE-GGA).

Unit cell a=8.4377 b=8.4377 c=5.5613 alpha=90.00 beta=90.00 gamma=120.00
Last column: nearest neighbours and their distance in Å.
Fractional coordinates of all 16 atoms:
1 Tm 0.0000 0.2709 0.2500  5 Au 2.89-2.95
2 Tm 0.0000 0.7291 0.7500  5 Au 2.89-2.95
3 Tm 0.2709 0.0000 0.2500  5 Au 2.89-2.95
4 Tm 0.2709 0.2709 0.7500  5 Au 2.89-2.95
5 Tm 0.7291 0.0000 0.7500  5 Au 2.89-2.95
6 Tm 0.7291 0.7291 0.2500  5 Au 2.89-2.95
7 Zn 0.3333 0.6667 0.0000  2 Zn 2.78, 6 Au 2.96
8 Zn 0.3333 0.6667 0.5000  2 Zn 2.78, 6 Au 2.96
9 Zn 0.6667 0.3333 0.0000  2 Zn 2.78, 6 Au 2.96
10 Zn 0.6667 0.3333 0.5000  2 Zn 2.78, 6 Au 2.96
11 Au 0.0000 0.3866 0.7500  5 Tm 2.89-2.95, 4 Zn 2.96
12 Au 0.0000 0.6134 0.2500  5 Tm 2.89-2.95, 4 Zn 2.96
13 Au 0.3866 0.0000 0.7500  5 Tm 2.89-2.95, 4 Zn 2.96
14 Au 0.3866 0.3866 0.2500  5 Tm 2.89-2.95, 4 Zn 2.96
15 Au 0.6134 0.0000 0.2500  5 Tm 2.89-2.95, 4 Zn 2.96
16 Au 0.6134 0.6134 0.7500  5 Tm 2.89-2.95, 4 Zn 2.96

Results
For the density of states at the Fermi level, the calculation gives 0.496 states/eV per atom. Its space-group type is P6_3/mcm. The spin magnetization comes out at 0.00 μB per cell. As for the total DFT energy (no corrections): -3.877 eV/atom.

---

[6]
Entry from the Alexandria database: an optimized crystal structure of Tm2Zn5Au (PBE-GGA).

Unit cell a=8.2936 b=8.2936 c=9.0042 alpha=90.00 beta=90.00 gamma=150.83
Last column: nearest neighbours and their distance in Å.
Fractional coordinates of all 16 atoms:
1 Tm 0.0000 0.0000 0.0000  4 Au 3.17, 6 Zn 3.17-3.24
2 Tm 0.0000 0.0000 0.5000  4 Au 3.17, 6 Zn 3.17-3.24
3 Tm 0.1910 0.8090 0.7500  11 Zn 3.01-3.21, 2 Au 3.11
4 Tm 0.8090 0.1910 0.2500  11 Zn 3.01-3.21, 2 Au 3.11
5 Zn 0.1930 0.8070 0.1069  6 Zn 2.49-2.78
6 Zn 0.1930 0.8070 0.3931  6 Zn 2.49-2.78
7 Zn 0.3518 0.6482 0.0218  4 Zn 2.49-2.66, 1 Au 2.61
8 Zn 0.3518 0.6482 0.4782  4 Zn 2.49-2.66, 1 Au 2.61
9 Zn 0.3885 0.6115 0.7500  6 Zn 2.52-2.78, 1 Au 2.56
10 Zn 0.6115 0.3885 0.2500  6 Zn 2.52-2.78, 1 Au 2.56
11 Zn 0.6482 0.3518 0.5218  4 Zn 2.49-2.66, 1 Au 2.61
12 Zn 0.6482 0.3518 0.9782  4 Zn 2.49-2.66, 1 Au 2.61
13 Zn 0.8070 0.1930 0.6069  6 Zn 2.49-2.78
14 Zn 0.8070 0.1930 0.8931  6 Zn 2.49-2.78
15 Au 0.4522 0.5478 0.2500  3 Zn 2.56-2.61
16 Au 0.5478 0.4522 0.7500  3 Zn 2.56-2.61

Results
For the density of states at the Fermi level, the calculation gives 0.486 states/eV per atom. Its space-group type is Cmcm. The spin magnetization comes out at 0.00 μB per cell. As for the total DFT energy (no corrections): -2.736 eV/atom.

---

[7]
Entry from the Alexandria database: an optimized crystal structure of TmZn4Au8 (PBE-GGA).

Unit cell a=7.3778 b=7.3778 c=7.3778 alpha=57.17 beta=57.17 gamma=57.17
Last column: nearest neighbours and their distance in Å.
Fractional coordinates of all 13 atoms:
1 Tm 0.0000 0.0000 0.0000  6 Au 2.79
2 Zn 0.0000 0.5000 0.5000  2 Au 2.56
3 Zn 0.5000 0.0000 0.5000  2 Au 2.56
4 Zn 0.5000 0.5000 0.0000  2 Au 2.56
5 Zn 0.5000 0.5000 0.5000  6 Au 2.54
6 Au 0.1552 0.7420 0.7420  1 Zn 2.54, 1 Tm 2.79
7 Au 0.2496 0.2496 0.2496  3 Zn 2.56
8 Au 0.2580 0.2580 0.8448  1 Zn 2.54, 1 Tm 2.79
9 Au 0.2580 0.8448 0.2580  1 Zn 2.54, 1 Tm 2.79
10 Au 0.7420 0.1552 0.7420  1 Zn 2.54, 1 Tm 2.79
11 Au 0.7420 0.7420 0.1552  1 Zn 2.54, 1 Tm 2.79
12 Au 0.7504 0.7504 0.7504  3 Zn 2.56
13 Au 0.8448 0.2580 0.2580  1 Zn 2.54, 1 Tm 2.79

Results
For the density of states at the Fermi level, the calculation gives 0.177 states/eV per atom. Its space-group type is R-3m. The offset from the most stable computed form is 0.253 eV per atom. The spin magnetization comes out at 0.00 μB per cell. As for the total DFT energy (no corrections): -2.837 eV/atom.

---

[8]
Entry from the Alexandria database: an optimized crystal structure of TmZn5Au6 (PBE-GGA).

Unit cell a=7.2788 b=7.2788 c=6.5393 alpha=90.00 beta=90.00 gamma=143.05
Last column: nearest neighbours and their distance in Å.
Fractional coordinates of all 12 atoms:
1 Tm 0.0000 0.0000 0.0000  8 Au 2.90-2.95, 4 Zn 3.21
2 Zn 0.0000 0.0000 0.5000  8 Au 2.75-2.91
3 Zn 0.3381 0.6619 0.5000  8 Au 2.70-2.81
4 Zn 0.3386 0.6614 0.0000  8 Au 2.80-2.86
5 Zn 0.6614 0.3386 0.0000  8 Au 2.80-2.86
6 Zn 0.6619 0.3381 0.5000  8 Au 2.70-2.81
7 Au 0.1761 0.8239 0.2560  7 Zn 2.75-2.91, 1 Tm 2.95
8 Au 0.1761 0.8239 0.7440  7 Zn 2.75-2.91, 1 Tm 2.95
9 Au 0.5000 0.5000 0.2697  6 Zn 2.70-2.84, 2 Tm 2.90, 1 Au 3.01
10 Au 0.5000 0.5000 0.7303  6 Zn 2.70-2.84, 2 Tm 2.90, 1 Au 3.01
11 Au 0.8239 0.1761 0.2560  7 Zn 2.75-2.91, 1 Tm 2.95
12 Au 0.8239 0.1761 0.7440  7 Zn 2.75-2.91, 1 Tm 2.95

Results
For the density of states at the Fermi level, the calculation gives 0.201 states/eV per atom. Its space-group type is Cmmm. The spin magnetization comes out at 0.00 μB per cell. As for the total DFT energy (no corrections): -2.870 eV/atom.

---

[9]
Entry from the Alexandria database: an optimized crystal structure of TmZn4Au8 (PBE-GGA).

Unit cell a=7.0806 b=7.0806 c=7.0806 alpha=98.52 beta=98.52 gamma=134.72
Last column: nearest neighbours and their distance in Å.
Fractional coordinates of all 13 atoms:
1 Tm 0.0000 0.0000 0.0000  4 Au 3.02
2 Zn 0.0000 0.0000 0.5000  8 Au 2.70-2.78, 2 Zn 2.73
3 Zn 0.0000 0.5000 0.0000  8 Au 2.70-2.78, 2 Zn 2.73
4 Zn 0.5000 0.0000 0.0000  8 Au 2.70-2.78, 2 Zn 2.73
5 Zn 0.5000 0.5000 0.5000  8 Au 2.70-2.78, 2 Zn 2.73
6 Au 0.0000 0.3270 0.3270  4 Zn 2.78, 4 Au 2.91-3.06, 1 Tm 3.02
7 Au 0.0000 0.6730 0.6730  4 Zn 2.78, 4 Au 2.91-3.06, 1 Tm 3.02
8 Au 0.2823 0.5000 0.7823  4 Zn 2.70, 4 Au 2.84-2.91
9 Au 0.3270 0.0000 0.3270  4 Zn 2.78, 4 Au 2.91-3.06, 1 Tm 3.02
10 Au 0.5000 0.2823 0.7823  4 Zn 2.70, 4 Au 2.84-2.91
11 Au 0.5000 0.7177 0.2177  4 Zn 2.70, 4 Au 2.84-2.91
12 Au 0.6730 0.0000 0.6730  4 Zn 2.78, 4 Au 2.91-3.06, 1 Tm 3.02
13 Au 0.7177 0.5000 0.2177  4 Zn 2.70, 4 Au 2.84-2.91

Results
For the density of states at the Fermi level, the calculation gives 0.247 states/eV per atom. Its space-group type is I4/mmm. The offset from the most stable computed form is 0.000 eV per atom. The spin magnetization comes out at 0.00 μB per cell. As for the total DFT energy (no corrections): -3.089 eV/atom.

---

[10]
Entry from the Alexandria database: an optimized crystal structure of TmZn3Au3 (PBE-GGA).

Unit cell a=7.4000 b=7.4000 c=7.4000 alpha=56.45 beta=56.45 gamma=56.45
Last column: nearest neighbours and their distance in Å.
Fractional coordinates of all 14 atoms:
1 Tm 0.1619 0.1619 0.1619  6 Au 2.91-3.03, 6 Zn 3.14-3.18
2 Tm 0.8381 0.8381 0.8381  6 Au 2.91-3.03, 6 Zn 3.14-3.18
3 Zn 0.0452 0.2289 0.6029  4 Au 2.66-2.77, 2 Zn 2.72
4 Zn 0.2289 0.6029 0.0452  4 Au 2.66-2.77, 2 Zn 2.72
5 Zn 0.3971 0.9548 0.7711  4 Au 2.66-2.77, 2 Zn 2.72
6 Zn 0.6029 0.0452 0.2289  4 Au 2.66-2.77, 2 Zn 2.72
7 Zn 0.7711 0.3971 0.9548  4 Au 2.66-2.77, 2 Zn 2.72
8 Zn 0.9548 0.7711 0.3971  4 Au 2.66-2.77, 2 Zn 2.72
9 Au 0.1915 0.4284 0.6809  4 Zn 2.66-2.77, 1 Tm 2.91, 2 Au 2.97
10 Au 0.3191 0.8085 0.5716  4 Zn 2.66-2.77, 1 Tm 2.91, 2 Au 2.97
11 Au 0.4284 0.6809 0.1915  4 Zn 2.66-2.77, 1 Tm 2.91, 2 Au 2.97
12 Au 0.5716 0.3191 0.8085  4 Zn 2.66-2.77, 1 Tm 2.91, 2 Au 2.97
13 Au 0.6809 0.1915 0.4284  4 Zn 2.66-2.77, 1 Tm 2.91, 2 Au 2.97
14 Au 0.8085 0.5716 0.3191  4 Zn 2.66-2.77, 1 Tm 2.91, 2 Au 2.97

Results
For the density of states at the Fermi level, the calculation gives 0.445 states/eV per atom. Its space-group type is R-3. The offset from the most stable computed form is 0.000 eV per atom. The spin magnetization comes out at 0.00 μB per cell. As for the total DFT energy (no corrections): -2.993 eV/atom.